# CrInI6

Crystalline CrInI6 at its relaxed geometry (GGA-PBE, Alexandria).

```
CrInI6
1.0
-2.9049 -5.5823 -4.3412
5.9853 4.0087 -2.5599
4.1572 -4.5209 3.5936
Cr In I
1 1 6
Direct
0.0000 0.0000 0.5000
0.0000 0.0000 0.0000
0.2916 0.9987 0.2838
0.9987 0.2916 0.2838
0.0013 0.7084 0.7162
0.7084 0.0013 0.7162
0.2904 0.2904 0.7581
0.7096 0.7096 0.2419
```

## Properties
- E_form (uncorrected) (eV per formula unit) = -3.25
- magnetic moment (μB/f.u.) = 3.1


# Zr2CO

Crystalline Zr2CO at its relaxed geometry (GGA-PBE, Alexandria).

```
Zr2CO
1.0
-2.4287 -0.0167 2.4423
-3.3121 -0.3760 -0.8674
-1.3275 -6.5367 1.0639
C O Zr
1 1 2
Direct
0.5000 0.5000 0.5000
0.0000 0.0000 0.0000
0.1028 0.1028 0.6917
0.8972 0.8972 0.3083
```

## Properties
- E above lowest polymorph (meV per atom) = 332
- E_form (uncorrected) (eV per formula unit) = -5.58
- magnetic moment (μB/f.u.) = 0.0


# HfTi2Ni

Crystalline HfTi2Ni at its relaxed geometry (GGA-PBE, Alexandria).

```
HfTi2Ni
1.0
0.0000 3.1878 3.1878
3.1878 0.0000 3.1878
3.1878 3.1878 0.0000
Ni Hf Ti
1 1 2
Direct
0.0000 0.0000 0.0000
0.5000 0.5000 0.5000
0.2500 0.2500 0.2500
0.7500 0.7500 0.7500
```

## Properties
- E above lowest polymorph (meV per atom) = 244
- formation energy (eV/atom) = 0.060
- magnetic moment (μB/f.u.) = 0.0


# Rb2SnSb3Pb4

Crystalline Rb2SnSb3Pb4 at its relaxed geometry (GGA-PBE, Alexandria).

```
Rb2SnSb3Pb4
1.0
5.2681 0.0000 0.0000
0.0000 5.2681 0.0000
0.0000 0.0000 13.7870
Rb Sn Sb Pb
2 1 3 4
Direct
0.5000 0.0000 0.2595
0.0000 0.5000 0.7405
0.5000 0.5000 0.5000
0.0000 0.0000 0.5000
0.5000 0.0000 0.8625
0.0000 0.5000 0.1375
0.5000 0.5000 0.0000
0.0000 0.0000 0.0000
0.5000 0.0000 0.6267
0.0000 0.5000 0.3733
```

## Properties
- E_form (uncorrected) (eV per formula unit) = -1.47
- magnetic moment (μB/f.u.) = 0.0


Question: Among the records above, which one has the highest magnetic moment?
Answer: CrInI6